Compound: ScCuAg4
Source: Alexandria
Functional: GGA-PBEsol
Structure: relaxed

Calculated values
**Size of the total moment**: 0.000 μB/f.u.
**D(E_F)**: 0.645 states/eV per atom
**DFT total energy**: -3.97 eV per atom
**Energy of formation from the pure elements**: 0.06 eV per atom

CIF file:
```
data_ScCuAg4
_cell_length_a 7.5047
_cell_length_b 7.5047
_cell_length_c 7.5047
_cell_angle_alpha 90.00
_cell_angle_beta 90.00
_cell_angle_gamma 90.00
_symmetry_space_group_name_H-M 'F -4 3 m'
_symmetry_Int_Tables_number 216
_symmetry_space_group_name_Hall 'F -4 2 3'
loop_
_atom_site_label
_atom_site_type_symbol
_atom_site_fract_x
_atom_site_fract_y
_atom_site_fract_z
_atom_site_occupancy
Sc1 Sc 0.0000 0.0000 0.0000 1
Cu1 Cu 0.2500 0.2500 0.2500 1
Ag1 Ag 0.1247 0.1247 0.6247 1
```